Material: Sc4NiRh
Method: DFT, GGA-PBE
State: optimized geometry

Cell lengths 7.3404, 7.3404, 5.6832 Å; angles 107.39, 107.39, 111.38 degrees
With the nearest neighbours (Å) after each atom.
Fractional positions:
Sc: 0.0502 0.6945 0.9014  2 Ni 2.73-2.74, 2 Rh 2.76-2.77
Sc: 0.2385 0.3643 0.7258  2 Ni 2.64-2.68, 2 Rh 2.70-2.93
Sc: 0.3055 0.9498 0.5986  2 Ni 2.73-2.74, 2 Rh 2.76-2.77
Sc: 0.3643 0.2385 0.2258  2 Ni 2.64-2.68, 2 Rh 2.70-2.93
Sc: 0.6357 0.7615 0.7742  2 Ni 2.64-2.68, 2 Rh 2.70-2.93
Sc: 0.6945 0.0502 0.4014  2 Ni 2.73-2.74, 2 Rh 2.76-2.77
Sc: 0.7615 0.6357 0.2742  2 Ni 2.64-2.68, 2 Rh 2.70-2.93
Sc: 0.9498 0.3055 0.0986  2 Ni 2.73-2.74, 2 Rh 2.76-2.77
Ni: 0.0003 0.9997 0.2500  8 Sc 2.64-2.74, 2 Ni 2.84
Ni: 0.9997 0.0003 0.7500  8 Sc 2.64-2.74, 2 Ni 2.84
Rh: 0.3595 0.6405 0.2500  8 Sc 2.70-2.93
Rh: 0.6405 0.3595 0.7500  8 Sc 2.70-2.93

Values from the calculation:
energy above the lowest structure with this stoichiometry	0.000	eV/atom
space-group type	No. 15
ΔH_f (0 K)	-0.485	eV per atom
V	20.1	A^3/atom